#1
Density functional theory data (PBE-GGA) for an optimized crystal structure of ScRuOF2.

The space group is P4/mmm (No. 123) and the conventional cell measures 4.4140, 4.4140 and 3.7167 Å, with angles of 90.00, 90.00 and 90.00 degrees. The asymmetric unit holds Sc at (0.0000, 0.0000, 0.0000), Ru at (0.5000, 0.5000, 0.5000), O at (0.5000, 0.5000, 0.0000) and F at (0.0000, 0.5000, 0.5000).

Its total magnetization is 0.0 μB/cell.

#2
Density functional theory data (PBE-GGA) for an optimized crystal structure of ScRuOF2.

The space group is P4/mmm (No. 123) and the conventional cell measures 4.1096, 4.1096 and 4.1058 Å, with angles of 90.00, 90.00 and 90.00 degrees. The asymmetric unit holds Sc at (0.0000, 0.0000, 0.0000), Ru at (0.5000, 0.5000, 0.5000), O at (0.0000, 0.0000, 0.5000) and F at (0.0000, 0.5000, 0.0000).

Its total magnetization is 3.1 μB/cell.

Top of the stability list: #2, leading by 641 meV/atom.

#1
Density functional theory data (PBE-GGA) for an optimized crystal structure of SiRuOF2.

The space group is P4/mmm (No. 123) and the conventional cell measures 4.3500, 4.3500 and 3.7209 Å, with angles of 90.00, 90.00 and 90.00 degrees. The asymmetric unit holds Si at (0.0000, 0.0000, 0.0000), Ru at (0.5000, 0.5000, 0.5000), O at (0.5000, 0.5000, 0.0000) and F at (0.0000, 0.5000, 0.5000).

Its total magnetization is 0.0 μB/cell.

#2
Density functional theory data (PBE-GGA) for an optimized crystal structure of SiRuOF2.

The space group is P4/mmm (No. 123) and the conventional cell measures 4.3491, 4.3491 and 3.3139 Å, with angles of 90.00, 90.00 and 90.00 degrees. The asymmetric unit holds Si at (0.0000, 0.0000, 0.0000), Ru at (0.5000, 0.5000, 0.5000), O at (0.0000, 0.0000, 0.5000) and F at (0.0000, 0.5000, 0.0000).

Its total magnetization is 2.7 μB/cell.

Top of the stability list: #2, leading by 217 meV/atom.

#1
Density functional theory data (PBE-GGA) for an optimized crystal structure of SnRuOF2.

The space group is P4/mmm (No. 123) and the conventional cell measures 4.4417, 4.4417 and 4.1087 Å, with angles of 90.00, 90.00 and 90.00 degrees. The asymmetric unit holds Sn at (0.0000, 0.0000, 0.0000), Ru at (0.5000, 0.5000, 0.5000), O at (0.0000, 0.0000, 0.5000) and F at (0.0000, 0.5000, 0.0000).

Its total magnetization is 2.9 μB/cell.

#2
Density functional theory data (PBE-GGA) for an optimized crystal structure of SnRuOF2.

The space group is P4/mmm (No. 123) and the conventional cell measures 4.5524, 4.5524 and 3.7005 Å, with angles of 90.00, 90.00 and 90.00 degrees. The asymmetric unit holds Sn at (0.0000, 0.0000, 0.0000), Ru at (0.5000, 0.5000, 0.5000), O at (0.5000, 0.5000, 0.0000) and F at (0.0000, 0.5000, 0.5000).

Its total magnetization is 0.0 μB/cell.

Top of the stability list: #2, leading by 413 meV/atom.

#1
Density functional theory data (PBE-GGA) for an optimized crystal structure of TaRuOF2.

The space group is P4/mmm (No. 123) and the conventional cell measures 4.2080, 4.2080 and 3.9460 Å, with angles of 90.00, 90.00 and 90.00 degrees. The asymmetric unit holds Ta at (0.0000, 0.0000, 0.0000), Ru at (0.5000, 0.5000, 0.5000), O at (0.0000, 0.0000, 0.5000) and F at (0.0000, 0.5000, 0.0000).

Its total magnetization is 1.3 μB/cell.

#2
Density functional theory data (PBE-GGA) for an optimized crystal structure of TaRuOF2.

The space group is P4/mmm (No. 123) and the conventional cell measures 4.3509, 4.3509 and 3.7687 Å, with angles of 90.00, 90.00 and 90.00 degrees. The asymmetric unit holds Ta at (0.0000, 0.0000, 0.0000), Ru at (0.5000, 0.5000, 0.5000), O at (0.5000, 0.5000, 0.0000) and F at (0.0000, 0.5000, 0.5000).

Its total magnetization is 2.0 μB/cell.

Top of the stability list: #1, leading by 953 meV/atom.